A plane-wave DFT calculation with PBE-GGA was carried out for an optimized crystal structure of LiPuTh2.

Properties
formation enthalpy at 0 K: 0.321 eV per atom
SG: No. 166
V: 30.68 Å³ per atom
energy above the lowest structure with this stoichiometry: 0.1746 eV/atom

Geometry as POSCAR:
```
LiPuTh2
1.0
1.6968 0.9797 12.3031
-1.6968 0.9797 12.3031
0.0000 -1.9594 12.3031
Li Pu Th
1 1 2
direct
0.0000 0.0000 0.0000
0.5000 0.5000 0.5000
0.0892 0.0892 0.0892
0.9108 0.9108 0.9108
```

***

A plane-wave DFT calculation with PBE-GGA was carried out for an optimized crystal structure of AcMg3Ag.

Properties
formation enthalpy at 0 K: -0.156 eV per atom
SG: No. 62
V: 26.68 Å³ per atom
energy above the lowest structure with this stoichiometry: 0.0000 eV/atom

Geometry as POSCAR:
```
AcMg3Ag
1.0
9.5398 0.0000 0.0000
0.0000 4.5179 0.0000
0.0000 0.0000 12.3824
Ac Mg Ag
4 12 4
direct
0.1700 0.2500 0.0081
0.3300 0.7500 0.5081
0.6700 0.2500 0.4919
0.8300 0.7500 0.9919
0.0523 0.2500 0.4164
0.1071 0.7500 0.2357
0.1441 0.7500 0.7844
0.3559 0.2500 0.2844
0.3929 0.2500 0.7357
0.4477 0.7500 0.9164
0.5523 0.2500 0.0836
0.6071 0.7500 0.2643
0.6441 0.7500 0.7156
0.8559 0.2500 0.2156
0.8929 0.2500 0.7643
0.9477 0.7500 0.5836
0.1279 0.2500 0.6368
0.3721 0.7500 0.1368
0.6279 0.2500 0.8632
0.8721 0.7500 0.3632
```

***

A plane-wave DFT calculation with PBE-GGA was carried out for an optimized crystal structure of Pr2Er2Mg15.

Properties
formation enthalpy at 0 K: -0.012 eV per atom
SG: No. 166
V: 25.80 Å³ per atom

Geometry as POSCAR:
```
Pr2Er2Mg15
1.0
5.2663 3.0405 5.1028
-5.2663 3.0405 5.1028
0.0000 -6.0810 5.1028
Pr Er Mg
2 2 15
direct
0.1681 0.1681 0.1681
0.8319 0.8319 0.8319
0.3993 0.3993 0.3993
0.6007 0.6007 0.6007
0.0000 0.5000 0.5000
0.1430 0.1430 0.6552
0.1430 0.6552 0.1430
0.2047 0.5000 0.7953
0.2047 0.7953 0.5000
0.3448 0.8570 0.8570
0.5000 0.0000 0.5000
0.5000 0.2047 0.7953
0.5000 0.5000 0.0000
0.5000 0.7953 0.2047
0.6552 0.1430 0.1430
0.7953 0.2047 0.5000
0.7953 0.5000 0.2047
0.8570 0.3448 0.8570
0.8570 0.8570 0.3448
```

***

A plane-wave DFT calculation with PBE-GGA was carried out for an optimized crystal structure of CoHgH2.

Properties
SG: No. 225
V: 9.54 Å³ per atom
energy above the lowest structure with this stoichiometry: 0.5205 eV/atom

Geometry as POSCAR:
```
CoHgH2
1.0
0.0000 2.6725 2.6725
2.6725 0.0000 2.6725
2.6725 2.6725 0.0000
Co Hg H
1 1 2
direct
0.0000 0.0000 0.0000
0.5000 0.5000 0.5000
0.2500 0.2500 0.2500
0.7500 0.7500 0.7500
```

***

A plane-wave DFT calculation with PBE-GGA was carried out for an optimized crystal structure of Li2MnCl.

Properties
SG: No. 71
V: 21.44 Å³ per atom
E_form (uncorrected): -0.179 eV per atom
energy above the lowest structure with this stoichiometry: 0.2649 eV/atom

Geometry as POSCAR:
```
Li2MnCl
1.0
-1.5583 3.1393 4.3833
1.5583 -3.1393 4.3833
1.5583 3.1393 -4.3833
Li Mn Cl
2 1 1
direct
0.1993 0.1993 0.0000
0.8007 0.8007 0.0000
0.5000 0.0000 0.5000
0.0000 0.5000 0.5000
```

***

A plane-wave DFT calculation with PBE-GGA was carried out for an optimized crystal structure of Sr2Li15Zn2.

Properties
formation enthalpy at 0 K: -0.013 eV per atom
SG: No. 166
V: 22.36 Å³ per atom

Geometry as POSCAR:
```
Sr2Li15Zn2
1.0
5.0550 2.9185 4.7995
-5.0550 2.9185 4.7995
0.0000 -5.8370 4.7995
Sr Li Zn
2 15 2
direct
0.1561 0.1561 0.1561
0.8439 0.8439 0.8439
0.0000 0.5000 0.5000
0.1576 0.1576 0.6307
0.1576 0.6307 0.1576
0.2288 0.5000 0.7712
0.2288 0.7712 0.5000
0.3693 0.8424 0.8424
0.5000 0.0000 0.5000
0.5000 0.2288 0.7712
0.5000 0.5000 0.0000
0.5000 0.7712 0.2288
0.6307 0.1576 0.1576
0.7712 0.2288 0.5000
0.7712 0.5000 0.2288
0.8424 0.3693 0.8424
0.8424 0.8424 0.3693
0.4046 0.4046 0.4046
0.5954 0.5954 0.5954
```